Below is an optimized crystal structure of PmCd2Ge, with properties calculated at the PBE-GGA level.

Summary:
* total magnetic moment: 0.0 μB/f.u.
* calculated formation energy: -0.9 eV/f.u.

a b c (Å): 5.478 4.588 8.145
angles (deg): 90.00 96.02 90.00
Sites, in units of the cell vectors:
Pm (0.033, 0.250, 0.214)
Pm (0.967, 0.750, 0.786)
Cd (0.313, 0.750, 0.465)
Cd (0.433, 0.750, 0.092)
Cd (0.567, 0.250, 0.908)
Cd (0.687, 0.250, 0.535)
Ge (0.215, 0.250, 0.637)
Ge (0.785, 0.750, 0.363)

Below is an optimized crystal structure of Pm4Cd5Ge6, with properties calculated at the PBE-GGA level.

Summary:
* total magnetic moment: 0.0 μB/f.u.
* calculated formation energy: -7.5 eV/f.u.

a b c (Å): 10.221 10.221 16.023
angles (deg): 90.00 90.00 154.87
Sites, in units of the cell vectors:
Pm (0.015, 0.985, 0.500)
Pm (0.035, 0.965, 0.764)
Pm (0.163, 0.837, 0.300)
Pm (0.175, 0.825, 0.942)
Pm (0.825, 0.175, 0.442)
Pm (0.837, 0.163, 0.800)
Pm (0.965, 0.035, 0.264)
Pm (0.985, 0.015, 0.000)
Cd (0.154, 0.846, 0.623)
Cd (0.301, 0.699, 0.618)
Cd (0.341, 0.659, 0.273)
Cd (0.350, 0.650, 0.976)
Cd (0.438, 0.562, 0.681)
Cd (0.562, 0.438, 0.181)
Cd (0.650, 0.350, 0.476)
Cd (0.659, 0.341, 0.773)
Cd (0.699, 0.301, 0.118)
Cd (0.846, 0.154, 0.123)
Ge (0.111, 0.889, 0.111)
Ge (0.227, 0.773, 0.474)
Ge (0.236, 0.764, 0.769)
Ge (0.433, 0.567, 0.127)
Ge (0.433, 0.567, 0.408)
Ge (0.447, 0.553, 0.853)
Ge (0.553, 0.447, 0.353)
Ge (0.567, 0.433, 0.627)
Ge (0.567, 0.433, 0.908)
Ge (0.764, 0.236, 0.269)
Ge (0.773, 0.227, 0.974)
Ge (0.889, 0.111, 0.611)

Below is an optimized crystal structure of Pm2Cd3Ge, with properties calculated at the PBE-GGA level.

Summary:
* total magnetic moment: 0.0 μB/f.u.
* calculated formation energy: -2.4 eV/f.u.

a b c (Å): 3.626 4.892 8.384
angles (deg): 90.00 90.00 90.00
Sites, in units of the cell vectors:
Pm (0.000, 0.000, 0.000)
Pm (0.000, 0.500, 0.464)
Cd (0.500, 0.000, 0.648)
Cd (0.500, 0.500, 0.143)
Cd (0.500, 0.500, 0.807)
Ge (0.500, 0.000, 0.318)

Below is an optimized crystal structure of Pm3CdGe3, with properties calculated at the PBE-GGA level.

Summary:
* total magnetic moment: 0.0 μB/f.u.
* calculated formation energy: -3.8 eV/f.u.

a b c (Å): 8.891 8.891 5.984
angles (deg): 90.00 90.00 120.00
Sites, in units of the cell vectors:
Pm (0.049, 0.692, 0.250)
Pm (0.308, 0.357, 0.250)
Pm (0.357, 0.049, 0.750)
Pm (0.643, 0.951, 0.250)
Pm (0.692, 0.643, 0.750)
Pm (0.951, 0.308, 0.750)
Cd (0.333, 0.667, 0.750)
Cd (0.667, 0.333, 0.250)
Ge (0.041, 0.688, 0.750)
Ge (0.312, 0.353, 0.750)
Ge (0.353, 0.041, 0.250)
Ge (0.647, 0.959, 0.750)
Ge (0.688, 0.647, 0.250)
Ge (0.959, 0.312, 0.250)

Below is an optimized crystal structure of Pm4Cd2Ge, with properties calculated at the PBE-GGA level.

Summary:
* total magnetic moment: 0.0 μB/f.u.
* calculated formation energy: -1.7 eV/f.u.

a b c (Å): 9.106 9.106 9.106
angles (deg): 33.82 33.82 33.82
Sites, in units of the cell vectors:
Pm (0.122, 0.122, 0.122)
Pm (0.374, 0.374, 0.374)
Pm (0.626, 0.626, 0.626)
Pm (0.878, 0.878, 0.878)
Cd (0.246, 0.246, 0.246)
Cd (0.754, 0.754, 0.754)
Ge (0.000, 0.000, 0.000)

Below is an optimized crystal structure of Pm5Cd2Ge4, with properties calculated at the PBE-GGA level.

Summary:
* total magnetic moment: 0.0 μB/f.u.
* calculated formation energy: -3.8 eV/f.u.

a b c (Å): 10.676 10.676 7.542
angles (deg): 96.77 96.77 20.77
Sites, in units of the cell vectors:
Pm (0.000, 0.000, 0.000)
Pm (0.335, 0.335, 0.059)
Pm (0.383, 0.383, 0.624)
Pm (0.617, 0.617, 0.376)
Pm (0.665, 0.665, 0.941)
Cd (0.235, 0.235, 0.662)
Cd (0.765, 0.765, 0.338)
Ge (0.100, 0.100, 0.670)
Ge (0.476, 0.476, 0.312)
Ge (0.524, 0.524, 0.688)
Ge (0.900, 0.900, 0.330)

Below is an optimized crystal structure of Pm5Cd2Ge2, with properties calculated at the PBE-GGA level.

Summary:
* total magnetic moment: 0.0 μB/f.u.
* calculated formation energy: -4.7 eV/f.u.

a b c (Å): 9.116 9.116 7.868
angles (deg): 90.00 90.00 50.82
Sites, in units of the cell vectors:
Pm (0.000, 0.000, 0.000)
Pm (0.058, 0.689, 0.679)
Pm (0.189, 0.558, 0.179)
Pm (0.311, 0.942, 0.679)
Pm (0.442, 0.811, 0.179)
Pm (0.500, 0.500, 0.500)
Pm (0.558, 0.189, 0.821)
Pm (0.689, 0.058, 0.321)
Pm (0.811, 0.442, 0.821)
Pm (0.942, 0.311, 0.321)
Cd (0.220, 0.220, 0.000)
Cd (0.280, 0.280, 0.500)
Cd (0.720, 0.720, 0.500)
Cd (0.780, 0.780, 0.000)
Ge (0.121, 0.879, 0.377)
Ge (0.379, 0.621, 0.877)
Ge (0.621, 0.379, 0.123)
Ge (0.879, 0.121, 0.623)

Below is an optimized crystal structure of PmCdGe, with properties calculated at the PBE-GGA level.

Summary:
* total magnetic moment: 0.0 μB/f.u.
* calculated formation energy: -1.5 eV/f.u.

a b c (Å): 4.500 4.500 4.183
angles (deg): 90.00 90.00 120.00
Sites, in units of the cell vectors:
Pm (0.000, 0.000, 0.000)
Cd (0.667, 0.333, 0.460)
Ge (0.333, 0.667, 0.600)

Below is an optimized crystal structure of Pm3CdGe2, with properties calculated at the PBE-GGA level.

Summary:
* total magnetic moment: 0.0 μB/f.u.
* calculated formation energy: -3.1 eV/f.u.

a b c (Å): 8.305 8.305 8.305
angles (deg): 53.64 53.64 53.64
Sites, in units of the cell vectors:
Pm (0.049, 0.750, 0.451)
Pm (0.250, 0.549, 0.951)
Pm (0.451, 0.049, 0.750)
Pm (0.549, 0.951, 0.250)
Pm (0.750, 0.451, 0.049)
Pm (0.951, 0.250, 0.549)
Cd (0.000, 0.000, 0.000)
Cd (0.500, 0.500, 0.500)
Ge (0.155, 0.155, 0.155)
Ge (0.345, 0.345, 0.345)
Ge (0.655, 0.655, 0.655)
Ge (0.845, 0.845, 0.845)

Below is an optimized crystal structure of Pm8CdGe6, with properties calculated at the PBE-GGA level.

Summary:
* total magnetic moment: 0.0 μB/f.u.
* calculated formation energy: -8.6 eV/f.u.

a b c (Å): 10.426 10.426 4.632
angles (deg): 90.00 90.00 120.00
Sites, in units of the cell vectors:
Pm (0.030, 0.706, 0.247)
Pm (0.294, 0.324, 0.247)
Pm (0.324, 0.030, 0.753)
Pm (0.333, 0.667, 0.752)
Pm (0.667, 0.333, 0.248)
Pm (0.676, 0.970, 0.247)
Pm (0.706, 0.676, 0.753)
Pm (0.970, 0.294, 0.753)
Cd (0.000, 0.000, 0.500)
Ge (0.130, 0.482, 0.253)
Ge (0.353, 0.870, 0.253)
Ge (0.482, 0.353, 0.747)
Ge (0.518, 0.647, 0.253)
Ge (0.647, 0.130, 0.747)
Ge (0.870, 0.518, 0.747)

Below is an optimized crystal structure of Pm2Cd2Ge, with properties calculated at the PBE-GGA level.

Summary:
* total magnetic moment: 0.0 μB/f.u.
* calculated formation energy: -1.0 eV/f.u.

a b c (Å): 9.296 9.296 9.296
angles (deg): 155.48 155.48 34.95
Sites, in units of the cell vectors:
Pm (0.086, 0.086, 0.000)
Pm (0.914, 0.914, 0.000)
Cd (0.250, 0.750, 0.500)
Cd (0.750, 0.250, 0.500)
Ge (0.500, 0.500, 0.000)

Below is an optimized crystal structure of PmCdGe2, with properties calculated at the PBE-GGA level.

Summary:
* total magnetic moment: 0.0 μB/f.u.
* calculated formation energy: -1.8 eV/f.u.

a b c (Å): 10.138 10.138 10.138
angles (deg): 155.64 155.64 34.72
Sites, in units of the cell vectors:
Pm (0.110, 0.110, 0.000)
Pm (0.890, 0.890, 0.000)
Cd (0.250, 0.750, 0.500)
Cd (0.750, 0.250, 0.500)
Ge (0.000, 0.500, 0.500)
Ge (0.359, 0.359, 0.000)
Ge (0.500, 0.000, 0.500)
Ge (0.641, 0.641, 0.000)